(1)
# Gd2Si2O7

Crystalline Gd2Si2O7 at its relaxed geometry (GGA-PBE, Alexandria).

Computed properties:
Fermi-level density of states, states/eV per cell: 0.000
E_form (uncorrected), eV/atom: -3.18
VASP energy, eV/atom: -9.8859

abc: 14.0031 8.3365 5.1268
angles: 90.00 90.00 90.00
Space group Pnma (No. 62)
Inequivalent atoms, fractional coordinates:
Gd1 0.1257 0.0079 0.1582
Si1 0.0387 0.7500 0.6250
Si2 0.1800 0.2500 0.6212
O1 0.0466 0.5839 0.7917
O2 0.0802 0.2500 0.4379
O3 0.0983 0.7500 0.3518
O4 0.1546 0.2500 0.9300
O5 0.2318 0.0875 0.5145


(2)
# TbCeNiAg

Crystalline TbCeNiAg at its relaxed geometry (GGA-PBE, Alexandria).

Computed properties:
Fermi-level density of states, states/eV per cell: 29.126
VASP energy, eV/atom: -4.9734
Energy of formation from the pure elements, eV/atom: -0.17

abc: 7.1321 7.1321 7.1321
angles: 90.00 90.00 90.00
Space group F-43m (No. 216)
Inequivalent atoms, fractional coordinates:
Tb1 0.0000 0.0000 0.0000
Ce1 0.0000 0.0000 0.5000
Ni1 0.2500 0.2500 0.2500
Ag1 0.2500 0.2500 0.7500


(3)
# Sm5Pd4

Crystalline Sm5Pd4 at its relaxed geometry (GGA-PBE, Alexandria).

Computed properties:
Fermi-level density of states, states/eV per cell: 13.763
VASP energy, eV/atom: -5.6451
Energy of formation from the pure elements, eV/atom: -0.72

abc: 10.8894 3.8746 11.4177
angles: 90.00 106.61 90.00
Space group C2/m (No. 12)
Inequivalent atoms, fractional coordinates:
Sm1 0.0000 0.0000 0.0000
Sm2 0.1061 0.0000 0.3957
Sm3 0.2259 0.0000 0.8100
Pd1 0.0101 0.5000 0.8125
Pd2 0.1175 0.5000 0.6047


(4)
# BaLi2InGe

Crystalline BaLi2InGe at its relaxed geometry (GGA-PBE, Alexandria).

Computed properties:
Fermi-level density of states, states/eV per cell: 3.894
VASP energy, eV/atom: -2.8119
Energy of formation from the pure elements, eV/atom: -0.19

abc: 5.1021 5.1021 5.5238
angles: 90.00 90.00 90.00
Space group P4/mmm (No. 123)
Inequivalent atoms, fractional coordinates:
Ba1 0.0000 0.0000 0.0000
Li1 0.0000 0.5000 0.5000
In1 0.5000 0.5000 0.0000
Ge1 0.5000 0.5000 0.5000


(5)
# AlSi2Ni

Crystalline AlSi2Ni at its relaxed geometry (GGA-PBE, Alexandria).

Computed properties:
Fermi-level density of states, states/eV per cell: 1.652
E_form (uncorrected), eV/atom: -0.04
VASP energy, eV/atom: -5.1370

abc: 3.8170 3.8170 9.1001
angles: 90.00 90.00 120.00
Space group P6_3/mmc (No. 194)
Inequivalent atoms, fractional coordinates:
Al1 0.3333 0.6667 0.2500
Si1 0.3333 0.6667 0.5983
Ni1 0.0000 0.0000 0.0000


(6)
# CoTcAu2

Crystalline CoTcAu2 at its relaxed geometry (GGA-PBE, Alexandria).

Computed properties:
Energy above the most stable polymorph in this dataset, meV/atom: 205
Fermi-level density of states, states/eV per cell: 3.579
VASP energy, eV/atom: -5.6422
Energy of formation from the pure elements, eV/atom: 0.36

abc: 2.7358 2.7358 8.2222
angles: 90.00 90.00 90.00
Space group P4/mmm (No. 123)
Inequivalent atoms, fractional coordinates:
Co1 0.0000 0.0000 0.0000
Tc1 0.0000 0.0000 0.5000
Au1 0.5000 0.5000 0.2387


(7)
# AcZnIn

Crystalline AcZnIn at its relaxed geometry (GGA-PBE, Alexandria).

Computed properties:
Energy above the most stable polymorph in this dataset, meV/atom: 201
Fermi-level density of states, states/eV per cell: 4.541
VASP energy, eV/atom: -2.9147
Energy of formation from the pure elements, eV/atom: -0.21

abc: 3.7080 3.7080 12.1407
angles: 90.00 90.00 90.00
Space group I4mm (No. 107)
Inequivalent atoms, fractional coordinates:
Ac1 0.0000 0.0000 0.0000
Zn1 0.0000 0.0000 0.6765
In1 0.0000 0.0000 0.2978


(8)
# AsN

Crystalline AsN at its relaxed geometry (GGA-PBE, Alexandria).

Computed properties:
Energy above the most stable polymorph in this dataset, meV/atom: 89
Fermi-level density of states, states/eV per cell: 0.255
E_form (uncorrected), eV/atom: 0.10
VASP energy, eV/atom: -6.3902

abc: 3.5780 2.9385 9.6667
angles: 90.00 96.25 90.00
Space group P2/m (No. 10)
Inequivalent atoms, fractional coordinates:
As1 0.2240 0.0000 0.4116
N1 0.4325 0.5000 0.9453